--- 1 ---
Material: RePtPb
Method: DFT, PBE
State: optimized geometry

Results
**Crystal system**: tetragonal

Cell lengths 7.016, 7.016, 2.970 Å; angles 77.78, 77.78, 24.44 degrees
Fractional coordinates of all 3 atoms:
Pb: 0.008 0.008 0.992
Pt: 0.306 0.306 0.694
Re: 0.685 0.685 0.315

---

--- 2 ---
Material: RePtPb
Method: DFT, PBE
State: optimized geometry

Results
**Crystal system**: orthorhombic

Cell lengths 6.130, 6.130, 6.130 Å; angles 153.07, 143.03, 46.33 degrees
Fractional coordinates of all 3 atoms:
Pb: 0.003 0.003 0.000
Pt: 0.293 0.293 0.000
Re: 0.704 0.704 0.000

---

--- 3 ---
Material: RePtPb
Method: DFT, PBE
State: optimized geometry

Results
**Crystal system**: hexagonal

Cell lengths 4.409, 4.409, 3.551 Å; angles 90.00, 90.00, 120.00 degrees
Fractional coordinates of all 3 atoms:
Pb: 0.000 0.000 0.000
Pt: 0.667 0.333 0.500
Re: 0.333 0.667 0.500

---

The most stable of them is 1.

---

--- 1 ---
Material: PtRhPb2
Method: DFT, PBE
State: optimized geometry

Results
**Crystal system**: tetragonal

Cell lengths 6.311, 6.311, 7.395 Å; angles 64.74, 64.74, 90.00 degrees
Fractional coordinates of all 8 atoms:
Pb: 0.616 0.125 0.250
Pb: 0.134 0.625 0.250
Pb: 0.375 0.384 0.750
Pb: 0.875 0.866 0.750
Rh: 0.500 0.500 0.000
Rh: 0.250 0.750 0.500
Pt: 0.000 0.000 0.000
Pt: 0.750 0.250 0.500

---

--- 2 ---
Material: PtRhPb2
Method: DFT, PBE
State: optimized geometry

Results
**Crystal system**: tetragonal

Cell lengths 5.665, 5.665, 5.665 Å; angles 137.59, 137.59, 61.54 degrees
Fractional coordinates of all 4 atoms:
Pt: 0.500 0.500 0.000
Rh: 0.750 0.250 0.500
Pb: 0.000 0.000 0.000
Pb: 0.250 0.750 0.500

---

The most stable of them is 2.

---

--- 1 ---
Material: PtRhPb2
Method: DFT, PBE
State: optimized geometry

Results
**Crystal system**: cubic

Cell lengths 4.896, 4.896, 4.896 Å; angles 60.00, 60.00, 60.00 degrees
Fractional coordinates of all 4 atoms:
Pt: 0.500 0.500 0.500
Rh: 0.250 0.250 0.250
Pb: 0.000 0.000 0.000
Pb: 0.750 0.750 0.750

---

--- 2 ---
Material: PtRhPb2
Method: DFT, PBE
State: optimized geometry

Results
**Crystal system**: monoclinic

Cell lengths 3.469, 4.620, 5.676 Å; angles 66.99, 90.00, 90.00 degrees
Fractional coordinates of all 4 atoms:
Pt: 0.500 0.500 0.000
Rh: 0.000 0.000 0.500
Pb: 0.000 0.000 0.000
Pb: 0.500 0.500 0.500

---

The most stable of them is 2.